[1]
{
  "formula": "Mg6CoCuO8",
  "functional": "GGA+U",
  "state": "optimized geometry",
  "lattice_angstrom": [[4.246, 0.000, 0.000], [0.000, 4.246, 0.000], [0.000, 0.000, 8.563]],
  "species": ["Mg", "Mg", "Mg", "Mg", "Mg", "Mg", "Co", "Cu", "O", "O", "O", "O", "O", "O", "O", "O"],
  "frac_coords": [[0.000, 0.000, 0.500], [0.500, 0.500, 0.500], [0.000, 0.500, 0.249], [0.000, 0.500, 0.751], [0.500, 0.000, 0.249], [0.500, 0.000, 0.751], [0.500, 0.500, 0.000], [0.000, 0.000, 0.000], [0.000, 0.000, 0.251], [0.000, 0.000, 0.749], [0.500, 0.500, 0.254], [0.500, 0.500, 0.746], [0.000, 0.500, 0.000], [0.000, 0.500, 0.500], [0.500, 0.000, 0.000], [0.500, 0.000, 0.500]],
  "vol_a3_per_cell": 154,
  "polymorph_energy_mev_per_atom": 0
}

***

[2]
{
  "formula": "NpTl2FeO6",
  "functional": "GGA+U",
  "state": "optimized geometry",
  "lattice_angstrom": [[-5.771, -0.180, 0.999], [-0.437, -4.793, -3.343], [-2.455, -4.862, 2.149]],
  "species": ["Np", "Tl", "Tl", "Fe", "O", "O", "O", "O", "O", "O"],
  "frac_coords": [[0.500, 0.500, 0.000], [0.250, 0.750, 0.500], [0.750, 0.250, 0.500], [0.000, 0.000, 0.000], [0.250, 0.750, 0.000], [0.750, 0.750, 0.000], [0.251, 0.251, 0.498], [0.750, 0.250, 0.000], [0.250, 0.250, 0.000], [0.749, 0.749, 0.502]],
  "total_energy_ev_per_atom": -6.975,
  "vol_a3_per_cell": 142
}

***

Computed total magnetization, in the same sequence as the records: 3.60; 5.29 μB/f.u..